# LuScTa, relaxed, DFT PBE-GGA
data_LuScTa
_chemical_formula_sum 'Lu1 Sc1 Ta1'
_space_group_name_H-M_alt 'P 1'
_space_group_IT_number 1
_cell_length_a 3.136
_cell_length_b 4.989
_cell_length_c 4.989
_cell_angle_alpha 120.00
_cell_angle_beta 90.00
_cell_angle_gamma 90.00
loop_
_space_group_symop_operation_xyz
'x,y,z'
loop_
_atom_site_label
_atom_site_fract_x
_atom_site_fract_y
_atom_site_fract_z
_atom_site_occupancy
Sc1 0.167 0.000 0.000 1
Lu1 0.667 0.667 0.333 1
Ta1 0.167 0.333 0.667 1
# electronic total energy	-0.541	Ry/atom
# ΔE_f	0.209	eV per atom



# Ba4AsPAu2, relaxed, DFT PBE-GGA
data_Ba4AsPAu2
_chemical_formula_sum 'Ba4 As1 P1 Au2'
_space_group_name_H-M_alt 'P 1'
_space_group_IT_number 1
_cell_length_a 4.766
_cell_length_b 8.281
_cell_length_c 8.272
_cell_angle_alpha 109.41
_cell_angle_beta 90.00
_cell_angle_gamma 90.00
loop_
_space_group_symop_operation_xyz
'x,y,z'
loop_
_atom_site_label
_atom_site_fract_x
_atom_site_fract_y
_atom_site_fract_z
_atom_site_occupancy
Ba1 0.500 0.245 0.221 1
Ba2 0.500 0.755 0.779 1
Ba3 0.000 0.265 0.781 1
Ba4 0.000 0.735 0.219 1
As1 0.000 0.000 0.000 1
P1 0.500 0.500 0.000 1
Au1 0.500 0.000 0.500 1
Au2 0.000 0.500 0.500 1
# electronic total energy	-0.289	Ry/atom
# ΔE_f	-0.901	eV per atom



# Na17Tl11Rh, relaxed, DFT PBE-GGA
data_Na17Tl11Rh
_chemical_formula_sum 'Na17 Tl11 Rh1'
_space_group_name_H-M_alt 'P 1'
_space_group_IT_number 1
_cell_length_a 10.443
_cell_length_b 10.443
_cell_length_c 10.149
_cell_angle_alpha 109.37
_cell_angle_beta 109.37
_cell_angle_gamma 111.11
loop_
_space_group_symop_operation_xyz
'x,y,z'
loop_
_atom_site_label
_atom_site_fract_x
_atom_site_fract_y
_atom_site_fract_z
_atom_site_occupancy
Na1 0.980 0.980 0.339 1
Na2 0.650 0.650 0.259 1
Na3 0.656 0.656 0.652 1
Na4 0.407 0.407 0.719 1
Na5 0.007 0.007 0.008 1
Na6 0.304 0.589 0.002 1
Na7 0.416 0.712 0.403 1
Na8 0.006 0.317 0.590 1
Na9 0.008 0.339 0.004 1
Na10 0.279 0.696 0.688 1
Na11 0.590 0.999 0.307 1
Na12 0.999 0.590 0.307 1
Na13 0.696 0.279 0.688 1
Na14 0.339 0.008 0.004 1
Na15 0.317 0.006 0.590 1
Na16 0.712 0.416 0.403 1
Na17 0.589 0.304 0.002 1
Tl1 0.214 0.214 0.869 1
Tl2 0.616 0.804 0.993 1
Tl3 0.196 0.385 0.364 1
Tl4 0.820 0.005 0.617 1
Tl5 0.634 0.007 0.812 1
Tl6 0.816 0.198 0.199 1
Tl7 0.198 0.816 0.199 1
Tl8 0.007 0.634 0.812 1
Tl9 0.005 0.820 0.617 1
Tl10 0.385 0.196 0.364 1
Tl11 0.804 0.616 0.993 1
Rh1 0.351 0.351 0.195 1
# electronic total energy	-0.147	Ry/atom
# ΔE_f	-0.073	eV per atom



# Dy3Ho5In, relaxed, DFT PBE-GGA
data_Dy3Ho5In
_chemical_formula_sum 'Dy6 Ho10 In2'
_space_group_name_H-M_alt 'P 1'
_space_group_IT_number 1
_cell_length_a 7.104
_cell_length_b 7.104
_cell_length_c 14.258
_cell_angle_alpha 68.11
_cell_angle_beta 68.11
_cell_angle_gamma 67.31
loop_
_space_group_symop_operation_xyz
'x,y,z'
loop_
_atom_site_label
_atom_site_fract_x
_atom_site_fract_y
_atom_site_fract_z
_atom_site_occupancy
Dy1 0.702 0.702 0.724 1
Dy2 0.774 0.774 0.441 1
Dy3 0.000 0.000 0.000 1
Dy4 0.000 0.000 0.500 1
Dy5 0.298 0.298 0.276 1
Dy6 0.226 0.226 0.559 1
Ho1 0.851 0.261 0.215 1
Ho2 0.327 0.673 0.000 1
Ho3 0.737 0.737 0.018 1
Ho4 0.523 0.523 0.385 1
Ho5 0.477 0.477 0.615 1
Ho6 0.263 0.263 0.982 1
Ho7 0.261 0.851 0.215 1
Ho8 0.673 0.327 0.000 1
Ho9 0.149 0.739 0.785 1
Ho10 0.739 0.149 0.785 1
In1 0.202 0.202 0.782 1
In2 0.798 0.798 0.218 1
# electronic total energy	-0.295	Ry/atom
# ΔE_f	0.371	eV per atom



# ZrTi3Fe4, relaxed, DFT PBE-GGA
data_ZrTi3Fe4
_chemical_formula_sum 'Zr2 Ti6 Fe8'
_space_group_name_H-M_alt 'P 1'
_space_group_IT_number 1
_cell_length_a 4.260
_cell_length_b 6.022
_cell_length_c 8.519
_cell_angle_alpha 90.00
_cell_angle_beta 90.00
_cell_angle_gamma 90.00
loop_
_space_group_symop_operation_xyz
'x,y,z'
loop_
_atom_site_label
_atom_site_fract_x
_atom_site_fract_y
_atom_site_fract_z
_atom_site_occupancy
Fe1 0.500 0.760 0.000 1
Fe2 0.500 0.760 0.500 1
Fe3 0.500 0.240 0.000 1
Fe4 0.500 0.240 0.500 1
Fe5 0.000 0.760 0.750 1
Fe6 0.000 0.760 0.250 1
Fe7 0.000 0.240 0.250 1
Fe8 0.000 0.240 0.750 1
Zr1 0.000 0.500 0.000 1
Zr2 0.000 0.500 0.500 1
Ti1 0.000 0.000 0.000 1
Ti2 0.000 0.000 0.500 1
Ti3 0.500 0.000 0.750 1
Ti4 0.500 0.000 0.250 1
Ti5 0.500 0.500 0.750 1
Ti6 0.500 0.500 0.250 1
# electronic total energy	-0.630	Ry/atom
# ΔE_f	-0.315	eV per atom



# Na2Zn2Bi3, relaxed, DFT PBE-GGA
data_Na2Zn2Bi3
_chemical_formula_sum 'Na2 Zn2 Bi3'
_space_group_name_H-M_alt 'P 1'
_space_group_IT_number 1
_cell_length_a 4.431
_cell_length_b 6.409
_cell_length_c 8.141
_cell_angle_alpha 112.11
_cell_angle_beta 90.00
_cell_angle_gamma 110.23
loop_
_space_group_symop_operation_xyz
'x,y,z'
loop_
_atom_site_label
_atom_site_fract_x
_atom_site_fract_y
_atom_site_fract_z
_atom_site_occupancy
Na1 0.855 0.710 0.194 1
Na2 0.145 0.290 0.806 1
Zn1 0.850 0.700 0.765 1
Zn2 0.150 0.300 0.235 1
Bi1 0.500 0.000 0.000 1
Bi2 0.617 0.233 0.462 1
Bi3 0.383 0.767 0.538 1
# electronic total energy	-0.182	Ry/atom
# ΔE_f	-0.074	eV per atom